1.
# Y2Zn3Mo4N3 GGA-PBE optimized geometry
# * electronic total energy: -364.4 eV for the cell shown
data_Y2Zn3Mo4N3
_space_group_name_H-M_alt 'C 1 2/c 1'
_space_group_IT_number 15
_space_group_name_Hall '-C 2yc'
_cell_length_a 9.542
_cell_length_b 5.546
_cell_length_c 13.658
_cell_angle_alpha 90.00
_cell_angle_beta 103.50
_cell_angle_gamma 90.00
loop_
_atom_site_label
_atom_site_type_symbol
_atom_site_fract_x
_atom_site_fract_y
_atom_site_fract_z
_atom_site_occupancy
Y1 Y 0.042 0.082 0.383 1
Zn1 Zn 0.000 0.430 0.750 1
Zn2 Zn 0.244 0.159 0.750 1
Mo1 Mo 0.110 0.425 0.574 1
Mo2 Mo 0.220 0.417 0.926 1
N1 N 0.079 0.236 0.000 1
N2 N 0.250 0.250 0.500 1

---

2.
# ZnMo2N GGA-PBE optimized geometry
# * electronic total energy: -126.6 eV for the cell shown
data_ZnMo2N
_space_group_name_H-M_alt 'C m c m'
_space_group_IT_number 63
_space_group_name_Hall '-C 2c 2'
_cell_length_a 2.822
_cell_length_b 4.935
_cell_length_c 14.677
_cell_angle_alpha 90.00
_cell_angle_beta 90.00
_cell_angle_gamma 90.00
loop_
_atom_site_label
_atom_site_type_symbol
_atom_site_fract_x
_atom_site_fract_y
_atom_site_fract_z
_atom_site_occupancy
Zn1 Zn 0.000 0.160 0.250 1
Mo1 Mo 0.000 0.170 0.596 1
N1 N 0.000 0.500 0.000 1

---

3.
# ZnMo4N3 GGA-PBE optimized geometry
# * electronic total energy: -140.4 eV for the cell shown
data_ZnMo4N3
_space_group_name_H-M_alt 'P 63/m m c'
_space_group_IT_number 194
_space_group_name_Hall '-P 6c 2c'
_cell_length_a 2.8338
_cell_length_b 2.8338
_cell_length_c 26.2144
_cell_angle_alpha 90.00
_cell_angle_beta 90.00
_cell_angle_gamma 120.00
loop_
_atom_site_label
_atom_site_type_symbol
_atom_site_fract_x
_atom_site_fract_y
_atom_site_fract_z
_atom_site_occupancy
Zn1 Zn 0.3333 0.6667 0.2500 1
Mo1 Mo 0.0000 0.0000 0.1649 1
Mo2 Mo 0.3333 0.6667 0.0556 1
N1 N 0.0000 0.0000 0.0000 1
N2 N 0.3333 0.6667 0.6122 1

---

4.
# ZnMo3N GGA-PBE optimized geometry
# * electronic total energy: -42.4 eV for the cell shown
data_ZnMo3N
_space_group_name_H-M_alt 'P m -3 m'
_space_group_IT_number 221
_space_group_name_Hall '-P 4 2 3'
_cell_length_a 4.105
_cell_length_b 4.105
_cell_length_c 4.105
_cell_angle_alpha 90.00
_cell_angle_beta 90.00
_cell_angle_gamma 90.00
loop_
_atom_site_label
_atom_site_type_symbol
_atom_site_fract_x
_atom_site_fract_y
_atom_site_fract_z
_atom_site_occupancy
Zn1 Zn 0.000 0.000 0.000 1
Mo1 Mo 0.000 0.500 0.500 1
N1 N 0.500 0.500 0.500 1

---

5.
# ZnMo2N GGA-PBE optimized geometry
# * electronic total energy: -63.3 eV for the cell shown
data_ZnMo2N
_space_group_name_H-M_alt 'P 63/m m c'
_space_group_IT_number 194
_space_group_name_Hall '-P 6c 2c'
_cell_length_a 2.8348
_cell_length_b 2.8348
_cell_length_c 14.6910
_cell_angle_alpha 90.00
_cell_angle_beta 90.00
_cell_angle_gamma 120.00
loop_
_atom_site_label
_atom_site_type_symbol
_atom_site_fract_x
_atom_site_fract_y
_atom_site_fract_z
_atom_site_occupancy
Zn1 Zn 0.3333 0.6667 0.2500 1
Mo1 Mo 0.3333 0.6667 0.5958 1
N1 N 0.0000 0.0000 0.0000 1

---

6.
# Zr4Zn3Mo2N3 GGA-PBE optimized geometry
# * electronic total energy: -373.7 eV for the cell shown
data_Zr4Zn3Mo2N3
_space_group_name_H-M_alt 'C 1 2/c 1'
_space_group_IT_number 15
_space_group_name_Hall '-C 2yc'
_cell_length_a 9.612
_cell_length_b 5.554
_cell_length_c 13.819
_cell_angle_alpha 90.00
_cell_angle_beta 103.03
_cell_angle_gamma 90.00
loop_
_atom_site_label
_atom_site_type_symbol
_atom_site_fract_x
_atom_site_fract_y
_atom_site_fract_z
_atom_site_occupancy
Zr1 Zr 0.114 0.086 0.098 1
Zr2 Zr 0.220 0.085 0.402 1
Zn1 Zn 0.000 0.143 0.750 1
Zn2 Zn 0.135 0.451 0.251 1
Mo1 Mo 0.059 0.416 0.926 1
N1 N 0.087 0.240 0.500 1
N2 N 0.250 0.250 0.000 1

---

> Among the records above, which one has the lowest electronic total energy?

Zr4Zn3Mo2N3